No. 1
This record from OQMD describes a geometry-optimized NaTaSeS structure. The functional is PBE.

It has space group P-6m2 (No. 187), with a = 3.4672 Å, b = 3.4672 Å, c = 14.6830 Å, α = 90.00°, β = 90.00° and γ = 120.00°. The inequivalent atoms are Na at (0.0000, 0.0000, 0.2409), Ta at (0.0000, 0.0000, 0.0000), Ta at (0.0000, 0.0000, 0.5000), Se at (0.3333, 0.6667, 0.3856) and S at (0.6667, 0.3333, 0.1049).

The value obtained for the energy above the most stable polymorph in this dataset is 2 meV/atom.

No. 2
This record from OQMD describes a geometry-optimized Na3TaSe2S2 structure. The functional is PBE.

It has space group Cmm2 (No. 35), with a = 9.7516 Å, b = 9.9524 Å, c = 6.9799 Å, α = 90.00°, β = 90.00° and γ = 90.00°. The inequivalent atoms are Na at (0.0000, 0.0000, 0.0000), Na at (0.2500, 0.2500, 0.5200), Ta at (0.0000, 0.0000, 0.5078), Se at (0.2040, 0.0000, 0.3082) and S at (0.0000, 0.1859, 0.7004).

The total energy comes out at -4.93 eV per atom.

No. 3
This record from OQMD describes a geometry-optimized NaTaSeS structure. The functional is PBE.

It has space group P-3m1 (No. 164), with a = 3.4705 Å, b = 3.4705 Å, c = 14.6516 Å, α = 90.00°, β = 90.00° and γ = 120.00°. The inequivalent atoms are Na at (0.0000, 0.0000, 0.0000), Na at (0.0000, 0.0000, 0.5000), Ta at (0.0000, 0.0000, 0.2404), Se at (0.3333, 0.6667, 0.6445) and S at (0.3333, 0.6667, 0.8640).

The value obtained for the energy above the most stable polymorph in this dataset is 1 meV/atom.

No. 4
This record from OQMD describes a geometry-optimized NaTaSeS structure. The functional is PBE.

It has space group P6_3mc (No. 186), with a = 3.4686 Å, b = 3.4686 Å, c = 14.6723 Å, α = 90.00°, β = 90.00° and γ = 120.00°. The inequivalent atoms are Na at (0.0000, 0.0000, 0.0000), Ta at (0.0000, 0.0000, 0.2386), Se at (0.3333, 0.6667, 0.3535) and S at (0.3333, 0.6667, 0.1342).

The value obtained for the energy above the most stable polymorph in this dataset is 0 meV/atom.

No. 5
This record from OQMD describes a geometry-optimized Na3TaSeS3 structure. The functional is PBE.

It has space group R3m (No. 160, hexagonal axes), with a = 9.8335 Å, b = 9.8335 Å, c = 11.8081 Å, α = 90.00°, β = 90.00° and γ = 120.00°. The inequivalent atoms are Na at (0.1700, 0.3400, 0.0000), Ta at (0.0000, 0.0000, 0.1637), Se at (0.0000, 0.0000, 0.9578) and S at (0.0803, 0.5402, 0.8960).

The total energy comes out at -5.05 eV per atom.

No. 6
This record from OQMD describes a geometry-optimized Na2ZrSeS2 structure. The functional is PBE.

It has space group C2/m (No. 12), with a = 6.7364 Å, b = 11.8454 Å, c = 7.0949 Å, α = 90.00°, β = 109.05° and γ = 90.00°. The inequivalent atoms are Na at (0.0000, 0.0000, 0.0000), Na at (0.0000, 0.1635, 0.5000), Na at (0.0000, 0.5000, 0.5000), Zr at (0.0000, 0.3244, 0.0000), Se at (0.2198, 0.5000, 0.2282) and S at (0.2426, 0.3187, 0.7802).

The total energy comes out at -5.21 eV per atom.

No. 7
This record from OQMD describes a geometry-optimized Na2Zr2Se3S structure. The functional is PBE.

It has space group C2 (No. 5), with a = 11.6878 Å, b = 6.9547 Å, c = 6.4887 Å, α = 90.00°, β = 117.64° and γ = 90.00°. The inequivalent atoms are Na at (0.1248, 0.0000, 0.3673), Zr at (0.1045, 0.4896, 0.8969), Se at (0.0000, 0.3019, 0.5000), Se at (0.2361, 0.7587, 0.7895) and S at (0.0000, 0.7540, 0.0000).

The total energy comes out at -5.34 eV per atom.

No. 8
This record from OQMD describes a geometry-optimized NaSm3SiS7 structure. The functional is PBE.

It has space group P6_3 (No. 173), with a = 10.1532 Å, b = 10.1532 Å, c = 5.7379 Å, α = 90.00°, β = 90.00° and γ = 120.00°. The inequivalent atoms are Na at (0.0000, 0.0000, 0.0000), Sm at (0.1268, 0.7657, 0.2328), Si at (0.3333, 0.6667, 0.6458), S at (0.0913, 0.8307, 0.7522), S at (0.1120, 0.5224, 0.4980) and S at (0.3333, 0.6667, 0.0137).

The total energy comes out at -5.76 eV per atom.